(1)
VASP calculation (PBE-GGA) on crystalline NdTm2Sc at its relaxed geometry.

Structure (POSCAR):
```
NdTm2Sc
1.0
3.484 0.000 0.000
0.000 3.484 0.000
0.000 0.000 9.859
Nd Tm Sc
1 2 1
direct
0.000 0.000 0.000
0.500 0.500 0.266
0.500 0.500 0.734
0.000 0.000 0.500
```

Calculated values
Energy above the lowest structure with this stoichiometry: 26 meV per atom
Spin magnetization: 0.000 μB per atom
Total energy: -4.960 eV per atom
Density of states at the Fermi level: 1.67 states/eV/atom

(2)
VASP calculation (PBE-GGA) on crystalline NdTm3Sc at its relaxed geometry.

Structure (POSCAR):
```
NdTm3Sc
1.0
9.004 0.000 0.000
0.000 6.141 0.000
-5.013 0.000 10.902
Nd Tm Sc
4 12 4
direct
0.149 0.173 0.097
0.149 0.327 0.597
0.851 0.673 0.403
0.851 0.827 0.903
0.053 0.663 0.204
0.053 0.837 0.704
0.356 0.170 0.904
0.356 0.330 0.404
0.448 0.664 0.798
0.448 0.836 0.298
0.552 0.164 0.702
0.552 0.336 0.202
0.644 0.670 0.596
0.644 0.830 0.096
0.947 0.163 0.296
0.947 0.337 0.796
0.255 0.666 0.000
0.255 0.834 0.500
0.745 0.166 0.500
0.745 0.334 0.000
```

Calculated values
Spin magnetization: 0.000 μB per atom
Total energy: -4.885 eV per atom
Density of states at the Fermi level: 1.66 states/eV/atom

(3)
VASP calculation (PBE-GGA) on crystalline Nd2Tm4Sc at its relaxed geometry.

Structure (POSCAR):
```
Nd2Tm4Sc
1.0
3.324 -5.939 0.000
3.324 5.939 0.000
-0.010 0.000 11.211
Nd Tm Sc
4 8 2
direct
0.027 0.973 0.750
0.320 0.680 0.750
0.680 0.320 0.250
0.973 0.027 0.250
0.224 0.776 0.042
0.224 0.776 0.458
0.277 0.278 0.000
0.278 0.277 0.500
0.722 0.723 0.500
0.723 0.722 0.000
0.776 0.224 0.542
0.776 0.224 0.958
0.399 0.601 0.250
0.601 0.399 0.750
```

Calculated values
Energy above the lowest structure with this stoichiometry: 0 meV per atom
Spin magnetization: 0.000 μB per atom
Total energy: -4.629 eV per atom
Density of states at the Fermi level: 1.42 states/eV/atom

(4)
VASP calculation (PBE-GGA) on crystalline Nd2Tm6Sc3 at its relaxed geometry.

Structure (POSCAR):
```
Nd2Tm6Sc3
1.0
2.971 -5.154 0.000
2.971 5.154 0.000
-2.005 0.000 11.194
Nd Tm Sc
2 6 3
direct
0.166 0.834 0.000
0.834 0.166 0.000
0.079 0.413 0.738
0.253 0.253 0.261
0.413 0.079 0.738
0.587 0.921 0.262
0.747 0.747 0.739
0.921 0.587 0.262
0.000 0.000 0.500
0.335 0.665 0.500
0.665 0.335 0.500
```

Calculated values
Spin magnetization: 0.000 μB per atom
Total energy: -4.833 eV per atom
Density of states at the Fermi level: 1.68 states/eV/atom